(1)
HfPaPdPt | Alexandria via LeMat-Bulk | PBE | optimized geometry; symmetry = F-43m (216); Fermi-level density of states = 6.22 states/eV per cell
1.0
0.000 3.432 3.432
3.432 0.000 3.432
3.432 3.432 0.000
Hf Pa Pd Pt
1 1 1 1
Cartesian
0.000 0.000 0.000
3.432 3.432 3.432
1.716 1.716 1.716
5.147 5.147 5.147

(2)
Pr5Hg4Pb | Alexandria via LeMat-Bulk | PBE | optimized geometry; symmetry = P4/mmm (123); Fermi-level density of states = 10.73 states/eV per cell
1.0
3.840 0.000 0.000
0.000 3.840 0.000
0.000 0.000 19.890
Pr Hg Pb
5 4 1
Cartesian
0.000 0.000 0.000
0.000 0.000 3.904
0.000 0.000 7.815
0.000 0.000 12.075
0.000 0.000 15.986
1.920 1.920 1.973
1.920 1.920 5.819
1.920 1.920 14.071
1.920 1.920 17.917
1.920 1.920 9.945

(3)
Rb2RhBr2F4 | Alexandria via LeMat-Bulk | PBE | optimized geometry; symmetry = I4/mmm (139); ΔE_f (raw) = -1.765 eV per atom; Fermi-level density of states = 7.93 states/eV per cell
1.0
-3.507 3.507 4.292
3.507 -3.507 4.292
3.507 3.507 -4.292
Rb Rh Br F
2 1 2 4
Cartesian
3.507 0.000 2.146
0.000 3.507 2.146
0.000 0.000 0.000
0.000 0.000 2.489
0.000 0.000 6.096
1.388 1.388 0.000
2.119 -2.119 4.292
-2.119 2.119 4.292
2.119 2.119 4.292

(4)
Al3CuNi3 | Alexandria via LeMat-Bulk | PBE | optimized geometry; symmetry = Pmmn (59); Fermi-level density of states = 8.24 states/eV per cell
1.0
3.927 0.000 0.000
0.000 5.264 0.000
0.000 0.000 9.067
Al Cu Ni
6 2 6
Cartesian
0.982 0.000 1.355
0.982 1.316 5.971
0.982 2.632 1.355
2.945 5.263 7.712
2.945 2.632 7.712
2.945 3.948 3.096
0.982 3.948 6.178
2.945 1.316 2.889
0.982 0.034 3.797
0.982 1.316 8.420
0.982 2.598 3.797
2.945 2.666 5.270
2.945 3.948 0.647
2.945 5.230 5.270

(5)
LiAg3 | Alexandria via LeMat-Bulk | PBE | optimized geometry; symmetry = P-6m2 (187); Fermi-level density of states = 1.28 states/eV per cell
1.0
2.931 0.000 0.000
-1.466 2.539 0.000
0.000 0.000 9.289
Li Ag
1 3
Cartesian
0.000 0.000 0.000
0.000 0.000 4.645
0.000 1.692 2.210
0.000 1.692 7.080

(6)
NaSiCl3 | Alexandria via LeMat-Bulk | PBE | optimized geometry; symmetry = Pm-3m (221); ΔE_f (raw) = -0.256 eV per atom; Fermi-level density of states = 0.00 states/eV per cell
1.0
4.984 0.000 0.000
0.000 4.984 0.000
0.000 0.000 4.984
Na Si Cl
1 1 3
Cartesian
0.000 0.000 0.000
2.492 2.492 2.492
0.000 0.000 2.492
0.000 2.492 0.000
2.492 0.000 0.000

(7)
Na2LiCdF6 | Alexandria via LeMat-Bulk | PBE | optimized geometry; symmetry = P2_1/c (14); ΔE_f (raw) = -2.318 eV per atom; Fermi-level density of states = 11.34 states/eV per cell
1.0
5.589 0.000 0.000
0.000 5.750 0.000
-5.305 0.000 8.074
Na Li Cd F
4 2 2 12
Cartesian
-0.070 0.348 1.957
-2.723 2.527 5.994
3.007 3.223 2.081
0.354 5.402 6.118
-2.653 0.000 4.037
0.000 2.875 0.000
2.795 0.000 0.000
0.142 2.875 4.037
-4.269 1.213 7.573
-1.616 1.662 3.536
-3.685 4.007 7.510
-1.032 4.618 3.473
-1.876 0.319 6.018
0.777 2.556 1.981
-0.493 3.194 6.093
2.160 5.431 2.056
1.317 1.132 4.601
3.969 1.743 0.564
1.900 4.088 4.538
4.553 4.538 0.501

(8)
HoHgB | Alexandria via LeMat-Bulk | PBE | optimized geometry; symmetry = C2/m (12); Fermi-level density of states = 2.70 states/eV per cell
1.0
4.628 -1.892 0.000
4.628 1.892 0.000
-1.291 0.000 6.781
Ho Hg B
2 2 2
Cartesian
0.704 0.000 2.200
7.261 0.000 4.580
3.299 0.000 0.572
4.666 0.000 6.209
3.322 0.000 2.951
4.642 0.000 3.829

(9)
Fe2Tc | Alexandria via LeMat-Bulk | PBE | optimized geometry; symmetry = P6_3/mmc (194); Fermi-level density of states = 25.78 states/eV per cell
1.0
4.656 0.000 0.000
-2.328 4.032 0.000
0.000 0.000 15.274
Fe Tc
16 8
Cartesian
-1.164 2.016 0.000
-1.164 2.016 7.637
0.000 1.314 3.819
-1.190 3.376 3.819
1.138 0.657 11.456
0.000 2.688 1.923
0.000 2.688 5.714
2.328 0.000 0.000
2.328 0.000 7.637
1.164 2.016 0.000
1.164 2.016 7.637
2.328 1.344 9.561
2.328 1.344 13.351
1.190 3.376 3.819
3.519 0.657 11.456
2.328 2.719 11.456
0.000 0.000 1.419
0.000 0.000 6.218
0.000 0.000 9.056
0.000 0.000 13.855
0.000 2.688 10.032
0.000 2.688 12.880
2.328 1.344 2.394
2.328 1.344 5.243

(10)
Al3V12Tc | Alexandria via LeMat-Bulk | PBE | optimized geometry; symmetry = Pmmm (47); Fermi-level density of states = 23.05 states/eV per cell
1.0
4.785 0.000 0.000
0.000 4.828 0.000
0.000 0.000 9.587
Al V Tc
3 12 1
Cartesian
0.000 0.000 0.000
2.393 2.414 2.389
2.393 2.414 7.197
0.000 1.188 2.424
0.000 1.188 7.162
0.000 3.640 2.424
0.000 3.640 7.162
1.188 2.414 0.000
1.185 2.414 4.793
2.393 0.000 1.228
2.393 0.000 3.617
2.393 0.000 5.970
2.393 0.000 8.358
3.598 2.414 0.000
3.601 2.414 4.793
0.000 0.000 4.793

Number 1: VASP energy -8.2943 eV/atom. Number 2: VASP energy -3.3629 eV/atom. Number 3: VASP energy -4.0005 eV/atom. Number 4: VASP energy -4.9293 eV/atom. Number 5: VASP energy -2.6812 eV/atom. Number 6: VASP energy -2.7122 eV/atom. Number 7: VASP energy -3.9875 eV/atom. Number 8: VASP energy -4.0732 eV/atom. Number 9: VASP energy -9.0698 eV/atom. Number 10: VASP energy -8.3582 eV/atom.